No. 1
Entry from Alexandria: a relaxed structure of Pr2ErZr (PBE).

a b c (Å): 4.918 4.990 4.990
angles (deg): 90.00 90.00 90.00
Element x y z (fractional)
Er (0.500, 0.500, 0.500)
Zr (0.500, 0.000, 0.000)
Pr (0.000, 0.000, 0.500)
Pr (0.000, 0.500, 0.000)

## Properties
Space-group type: P4/mmm (123)
ΔH_f (0 K): 0.13 eV per atom
N(E_F): 1.1703 states/eV per atom

=====

No. 2
Entry from Alexandria: a relaxed structure of PrEr14Zr (PBE).

a b c (Å): 7.004 7.004 9.841
angles (deg): 90.00 90.00 90.00
Element x y z (fractional)
Er (0.369, 0.631, 0.254)
Er (0.625, 0.375, 0.000)
Pr (0.625, 0.375, 0.500)
Er (0.125, 0.375, 0.000)
Er (0.369, 0.631, 0.746)
Er (0.625, 0.875, 0.000)
Er (0.881, 0.631, 0.746)
Er (0.881, 0.631, 0.254)
Er (0.881, 0.119, 0.746)
Er (0.881, 0.119, 0.254)
Er (0.625, 0.875, 0.500)
Er (0.125, 0.875, 0.000)
Er (0.125, 0.375, 0.500)
Er (0.369, 0.119, 0.254)
Er (0.369, 0.119, 0.746)
Zr (0.125, 0.875, 0.500)

## Properties
Space-group type: P4/mmm (123)
ΔH_f (0 K): 0.04 eV per atom
N(E_F): 1.1920 states/eV per atom

=====

No. 3
Entry from Alexandria: a relaxed structure of PrEr2Zr (PBE).

a b c (Å): 5.511 5.511 5.511
angles (deg): 60.00 60.00 60.00
Element x y z (fractional)
Er (0.750, 0.750, 0.750)
Er (0.250, 0.250, 0.250)
Pr (0.000, 0.000, 0.000)
Zr (0.500, 0.500, 0.500)

## Properties
Space-group type: Fm-3m (225)
ΔH_f (0 K): 0.22 eV per atom
N(E_F): 1.7678 states/eV per atom

=====

No. 4
Entry from Alexandria: a relaxed structure of PrEr2Zr (PBE).

a b c (Å): 3.372 3.372 12.246
angles (deg): 82.09 82.09 60.00
Element x y z (fractional)
Pr (0.500, 0.500, 0.500)
Er (0.915, 0.915, 0.256)
Er (0.085, 0.085, 0.744)
Zr (0.000, 0.000, 0.000)

## Properties
Space-group type: R-3m (166)
ΔH_f (0 K): 0.32 eV per atom
N(E_F): 1.3608 states/eV per atom

=====

No. 5
Entry from Alexandria: a relaxed structure of Pr3Er12Zr (PBE).

a b c (Å): 4.977 4.977 19.989
angles (deg): 90.00 90.00 90.00
Element x y z (fractional)
Er (0.000, 0.500, 0.628)
Er (0.500, 0.500, 0.500)
Pr (0.000, 0.000, 0.247)
Pr (0.000, 0.000, 0.753)
Zr (0.000, 0.000, 0.000)
Er (0.000, 0.500, 0.115)
Er (0.500, 0.500, 0.755)
Er (0.500, 0.000, 0.885)
Er (0.000, 0.500, 0.372)
Er (0.500, 0.000, 0.115)
Er (0.500, 0.500, 0.000)
Er (0.000, 0.500, 0.885)
Er (0.500, 0.500, 0.245)
Er (0.500, 0.000, 0.372)
Er (0.500, 0.000, 0.628)
Pr (0.000, 0.000, 0.500)

## Properties
Space-group type: P4/mmm (123)
ΔH_f (0 K): 0.04 eV per atom
N(E_F): 1.3926 states/eV per atom

=====

No. 6
Entry from Alexandria: a relaxed structure of Pr2ErZr (PBE).

a b c (Å): 5.561 5.561 5.561
angles (deg): 60.00 60.00 60.00
Element x y z (fractional)
Zr (0.500, 0.500, 0.500)
Er (0.000, 0.000, 0.000)
Pr (0.250, 0.250, 0.250)
Pr (0.750, 0.750, 0.750)

## Properties
Space-group type: Fm-3m (225)
ΔH_f (0 K): 0.21 eV per atom
N(E_F): 1.8645 states/eV per atom

=====

No. 7
Entry from Alexandria: a relaxed structure of Pr14ErZr (PBE).

a b c (Å): 7.324 7.324 10.387
angles (deg): 90.00 90.00 90.00
Element x y z (fractional)
Pr (0.375, 0.125, 0.000)
Pr (0.120, 0.370, 0.758)
Er (0.375, 0.625, 0.000)
Pr (0.630, 0.880, 0.758)
Pr (0.630, 0.370, 0.758)
Pr (0.875, 0.625, 0.500)
Pr (0.375, 0.125, 0.500)
Pr (0.630, 0.880, 0.242)
Pr (0.875, 0.625, 0.000)
Pr (0.120, 0.880, 0.758)
Zr (0.875, 0.125, 0.000)
Pr (0.375, 0.625, 0.500)
Pr (0.875, 0.125, 0.500)
Pr (0.630, 0.370, 0.242)
Pr (0.120, 0.370, 0.242)
Pr (0.120, 0.880, 0.242)

## Properties
Space-group type: P4/mmm (123)
ΔH_f (0 K): 0.05 eV per atom
N(E_F): 1.5039 states/eV per atom

=====

No. 8
Entry from Alexandria: a relaxed structure of Er5Pt (PBE).

a b c (Å): 5.315 3.794 8.262
angles (deg): 103.27 90.00 90.00
Element x y z (fractional)
Er (0.000, 0.638, 0.277)
Er (0.500, 0.500, 0.000)
Er (0.500, 0.830, 0.660)
Pt (0.000, 0.000, 0.000)
Er (0.500, 0.170, 0.340)
Er (0.000, 0.362, 0.723)

## Properties
Space-group type: Cmmm (65)
ΔH_f (0 K): -0.28 eV per atom
N(E_F): 1.3439 states/eV per atom

=====

No. 9
Entry from Alexandria: a relaxed structure of Er6Pt23 (PBE).

a b c (Å): 9.090 9.090 9.090
angles (deg): 60.00 60.00 60.00
Element x y z (fractional)
Er (0.780, 0.220, 0.220)
Pt (0.000, 0.500, 0.000)
Pt (0.500, 0.500, 0.500)
Pt (0.000, 0.500, 0.500)
Er (0.220, 0.220, 0.780)
Pt (0.379, 0.379, 0.379)
Pt (0.621, 0.621, 0.138)
Pt (0.835, 0.496, 0.835)
Er (0.780, 0.220, 0.780)
Pt (0.862, 0.379, 0.379)
Pt (0.165, 0.165, 0.165)
Pt (0.165, 0.504, 0.165)
Pt (0.500, 0.500, 0.000)
Er (0.780, 0.780, 0.220)
Pt (0.496, 0.835, 0.835)
Pt (0.621, 0.621, 0.621)
Er (0.220, 0.780, 0.780)
Pt (0.835, 0.835, 0.496)
Pt (0.500, 0.000, 0.500)
Pt (0.504, 0.165, 0.165)
Pt (0.165, 0.165, 0.504)
Pt (0.621, 0.138, 0.621)
Pt (0.138, 0.621, 0.621)
Er (0.220, 0.780, 0.220)
Pt (0.000, 0.000, 0.500)
Pt (0.379, 0.379, 0.862)
Pt (0.379, 0.862, 0.379)
Pt (0.835, 0.835, 0.835)
Pt (0.500, 0.000, 0.000)

## Properties
Space-group type: Fm-3m (225)
ΔH_f (0 K): -0.75 eV per atom
N(E_F): 0.7610 states/eV per atom

=====

No. 10
Entry from Alexandria: a relaxed structure of ErPt (PBE).

a b c (Å): 4.525 5.525 6.922
angles (deg): 90.00 90.00 90.00
Element x y z (fractional)
Pt (0.750, 0.656, 0.457)
Er (0.250, 0.641, 0.182)
Pt (0.750, 0.844, 0.957)
Er (0.250, 0.859, 0.682)
Pt (0.250, 0.156, 0.043)
Er (0.750, 0.141, 0.318)
Pt (0.250, 0.344, 0.543)
Er (0.750, 0.359, 0.818)

## Properties
Space-group type: Pnma (62)
ΔH_f (0 K): -1.33 eV per atom
N(E_F): 0.4382 states/eV per atom

=====

No. 11
Entry from Alexandria: a relaxed structure of Er4Pt (PBE).

a b c (Å): 7.671 7.671 7.671
angles (deg): 60.00 60.00 60.00
Element x y z (fractional)
Er (0.860, 0.860, 0.420)
Pt (0.250, 0.250, 0.250)
Er (0.420, 0.860, 0.860)
Er (0.860, 0.860, 0.860)
Er (0.860, 0.420, 0.860)
Er (0.390, 0.390, 0.390)
Er (0.390, 0.390, 0.830)
Er (0.390, 0.830, 0.390)
Pt (0.000, 0.000, 0.000)
Er (0.830, 0.390, 0.390)

## Properties
Space-group type: Fd-3m (227)
ΔH_f (0 K): -0.04 eV per atom
N(E_F): 1.5006 states/eV per atom

=====

No. 12
Entry from Alexandria: a relaxed structure of ErPt6 (PBE).

a b c (Å): 6.065 6.065 6.065
angles (deg): 109.47 109.47 109.47
Element x y z (fractional)
Pt (0.250, 0.750, 0.500)
Pt (0.750, 0.500, 0.250)
Pt (0.750, 0.250, 0.500)
Pt (0.500, 0.250, 0.750)
Pt (0.500, 0.750, 0.250)
Pt (0.250, 0.500, 0.750)
Er (0.000, 0.000, 0.000)

## Properties
Space-group type: Im-3m (229)
ΔH_f (0 K): 0.46 eV per atom
N(E_F): 2.0980 states/eV per atom

=====

no.,final energy (eV per atom),calculated volume (Å³ per atom),magnetization (μB per cell)
1,-5.535,30.6,0.00
2,-4.787,30.2,0.00
3,-5.396,29.6,1.17
4,-5.289,29.8,0.00
5,-4.813,30.9,0.00
6,-5.455,30.4,0.61
7,-4.953,34.8,0.00
8,-5.088,27.0,0.00
9,-6.487,18.3,0.00
10,-6.628,21.6,0.00
11,-4.903,31.9,0.00
12,-5.365,24.5,0.00